(1)
First-principles (PBE) data for BaBeAl2 after structural relaxation, as listed in Alexandria via LeMat-Bulk.

Output
Fermi-level density of states in states/eV/f.u.: 2.1
Formation enthalpy at 0 K in meV/atom: -6

The structure in POSCAR format:
```
BaBeAl2
1.0
2.1018 1.2134 6.3349
-2.1018 1.2134 6.3349
0.0000 -2.4269 6.3349
Ba Be Al
1 1 2
Direct
0.0000 0.0000 0.0000
0.8163 0.8163 0.8163
0.2022 0.2022 0.2022
0.4692 0.4692 0.4692
```



(2)
First-principles (PBE) data for BaBeAl2 after structural relaxation, as listed in Alexandria via LeMat-Bulk.

Output
Fermi-level density of states in states/eV/f.u.: 2.4
Formation enthalpy at 0 K in meV/atom: -16

The structure in POSCAR format:
```
BaBeAl2
1.0
2.0895 1.2064 6.3759
-2.0895 1.2064 6.3759
0.0000 -2.4128 6.3759
Ba Be Al
1 1 2
Direct
0.0000 0.0000 0.0000
0.5000 0.5000 0.5000
0.2011 0.2011 0.2011
0.7989 0.7989 0.7989
```



(3)
First-principles (PBE) data for BaBe2Al after structural relaxation, as listed in Alexandria via LeMat-Bulk.

Output
Fermi-level density of states in states/eV/f.u.: 2.0
Formation enthalpy at 0 K in meV/atom: 291

The structure in POSCAR format:
```
BaBe2Al
1.0
4.2183 0.0000 0.0000
0.0000 4.2508 0.0000
0.0000 0.0000 5.3935
Ba Be Al
1 2 1
Direct
0.0000 0.0000 0.0000
0.5000 0.2530 0.5000
0.5000 0.7470 0.5000
0.0000 0.5000 0.5000
```



(4)
First-principles (PBE) data for BaBeAl2 after structural relaxation, as listed in Alexandria via LeMat-Bulk.

Output
Fermi-level density of states in states/eV/f.u.: 3.0
Formation enthalpy at 0 K in meV/atom: 540

The structure in POSCAR format:
```
BaBeAl2
1.0
4.4339 0.0000 0.0000
0.0000 4.4339 0.0000
0.0000 0.0000 4.8491
Ba Be Al
1 1 2
Direct
0.0000 0.0000 0.0000
0.5000 0.5000 0.0000
0.0000 0.5000 0.5000
0.5000 0.0000 0.5000
```



(5)
First-principles (PBE) data for BaLi2BeAl after structural relaxation, as listed in Alexandria via LeMat-Bulk.

Output
Fermi-level density of states in states/eV/f.u.: 3.3
Formation enthalpy at 0 K in meV/atom: 101

The structure in POSCAR format:
```
BaLi2BeAl
1.0
5.0497 0.0000 0.0000
0.0000 5.0497 0.0000
0.0000 0.0000 4.5579
Ba Li Be Al
1 2 1 1
Direct
0.0000 0.0000 0.0000
0.0000 0.5000 0.5000
0.5000 0.0000 0.5000
0.5000 0.5000 0.5000
0.5000 0.5000 0.0000
```



(6)
First-principles (PBE) data for Ba2NaBeAl after structural relaxation, as listed in Alexandria via LeMat-Bulk.

Output
Fermi-level density of states in states/eV/f.u.: 6.8
Formation enthalpy at 0 K in meV/atom: 515

The structure in POSCAR format:
```
Ba2NaBeAl
1.0
6.1704 0.0000 0.0000
0.0000 6.1704 0.0000
0.0000 0.0000 5.1605
Ba Na Be Al
2 1 1 1
Direct
0.0000 0.5000 0.0000
0.5000 0.0000 0.0000
0.0000 0.0000 0.5000
0.0000 0.0000 0.0000
0.5000 0.5000 0.5000
```



(7)
First-principles (PBE) data for Ba3Be2AlO6 after structural relaxation, as listed in Alexandria via LeMat-Bulk.

Output
Fermi-level density of states in states/eV/f.u.: 1.8
ΔE_f (raw) in eV per atom: -2.513

The structure in POSCAR format:
```
Ba3Be2AlO6
1.0
5.5080 0.0000 0.0000
-2.7540 4.7701 0.0000
0.0000 0.0000 7.0733
Ba Be Al O
3 2 1 6
Direct
0.0000 0.0000 0.0000
0.3333 0.6667 0.6850
0.6667 0.3333 0.3150
0.3333 0.6667 0.2995
0.6667 0.3333 0.7005
0.0000 0.0000 0.5000
0.1692 0.3385 0.3309
0.1692 0.8308 0.3309
0.3385 0.1692 0.6691
0.6615 0.8308 0.3309
0.8308 0.1692 0.6691
0.8308 0.6615 0.6691
```



(8)
First-principles (PBE) data for BaBeAlPb2 after structural relaxation, as listed in Alexandria via LeMat-Bulk.

Output
Fermi-level density of states in states/eV/f.u.: 4.2
Formation enthalpy at 0 K in meV/atom: 660

The structure in POSCAR format:
```
BaBeAlPb2
1.0
5.3897 0.0000 0.0000
0.0000 5.3897 0.0000
0.0000 0.0000 6.4482
Ba Be Al Pb
1 1 1 2
Direct
0.0000 0.0000 0.0000
0.5000 0.5000 0.0000
0.0000 0.0000 0.5000
0.0000 0.5000 0.5000
0.5000 0.0000 0.5000
```



(9)
First-principles (PBE) data for BaBe2AlPd after structural relaxation, as listed in Alexandria via LeMat-Bulk.

Output
Fermi-level density of states in states/eV/f.u.: 3.1
Formation enthalpy at 0 K in meV/atom: 1832

The structure in POSCAR format:
```
BaBe2AlPd
1.0
5.5316 0.0000 0.0000
0.0000 5.5316 0.0000
0.0000 0.0000 5.4437
Ba Be Al Pd
1 2 1 1
Direct
0.0000 0.0000 0.0000
0.0000 0.5000 0.0000
0.5000 0.0000 0.0000
0.5000 0.5000 0.5000
0.0000 0.0000 0.5000
```



(10)
First-principles (PBE) data for BaBe2AlS after structural relaxation, as listed in Alexandria via LeMat-Bulk.

Output
Fermi-level density of states in states/eV/f.u.: 3.9
ΔE_f (raw) in eV per atom: 1.436

The structure in POSCAR format:
```
BaBe2AlS
1.0
5.8789 0.0000 0.0000
0.0000 5.8789 0.0000
0.0000 0.0000 5.7880
Ba Be Al S
1 2 1 1
Direct
0.0000 0.0000 0.0000
0.0000 0.5000 0.0000
0.5000 0.0000 0.0000
0.5000 0.5000 0.5000
0.0000 0.0000 0.5000
```



(11)
First-principles (PBE) data for BaTa2BeAl after structural relaxation, as listed in Alexandria via LeMat-Bulk.

Output
Fermi-level density of states in states/eV/f.u.: 5.4
Formation enthalpy at 0 K in meV/atom: 1169

The structure in POSCAR format:
```
BaTa2BeAl
1.0
4.6477 0.0000 0.0000
0.0000 4.6477 0.0000
0.0000 0.0000 5.3490
Ba Ta Be Al
1 2 1 1
Direct
0.0000 0.0000 0.0000
0.0000 0.5000 0.5000
0.5000 0.0000 0.5000
0.0000 0.0000 0.5000
0.5000 0.5000 0.0000
```



(12)
First-principles (PBE) data for BaBeAl2Tc after structural relaxation, as listed in Alexandria via LeMat-Bulk.

Output
Fermi-level density of states in states/eV/f.u.: 3.8
Formation enthalpy at 0 K in meV/atom: 722

The structure in POSCAR format:
```
BaBeAl2Tc
1.0
4.8750 0.0000 0.0000
0.0000 4.8750 0.0000
0.0000 0.0000 5.6569
Ba Be Al Tc
1 1 2 1
Direct
0.0000 0.0000 0.0000
0.5000 0.5000 0.0000
0.0000 0.5000 0.5000
0.5000 0.0000 0.5000
0.0000 0.0000 0.5000
```



(13)
First-principles (PBE) data for Ba2TiBeAl after structural relaxation, as listed in Alexandria via LeMat-Bulk.

Output
Fermi-level density of states in states/eV/f.u.: 6.1
Formation enthalpy at 0 K in meV/atom: 973

The structure in POSCAR format:
```
Ba2TiBeAl
1.0
6.1060 0.0000 0.0000
0.0000 6.1060 0.0000
0.0000 0.0000 5.0787
Ba Ti Be Al
2 1 1 1
Direct
0.0000 0.5000 0.0000
0.5000 0.0000 0.0000
0.0000 0.0000 0.0000
0.5000 0.5000 0.5000
0.0000 0.0000 0.5000
```



(14)
First-principles (PBE) data for BaBeAlTl2 after structural relaxation, as listed in Alexandria via LeMat-Bulk.

Output
Fermi-level density of states in states/eV/f.u.: 7.0
Formation enthalpy at 0 K in meV/atom: 677

The structure in POSCAR format:
```
BaBeAlTl2
1.0
5.2831 0.0000 0.0000
0.0000 5.2831 0.0000
0.0000 0.0000 6.5471
Ba Be Al Tl
1 1 1 2
Direct
0.0000 0.0000 0.0000
0.5000 0.5000 0.0000
0.0000 0.0000 0.5000
0.0000 0.5000 0.5000
0.5000 0.0000 0.5000
```



(15)
First-principles (PBE) data for BaY2BeAl after structural relaxation, as listed in Alexandria via LeMat-Bulk.

Output
Fermi-level density of states in states/eV/f.u.: 5.0
Formation enthalpy at 0 K in meV/atom: 1499

The structure in POSCAR format:
```
BaY2BeAl
1.0
5.6910 0.0000 0.0000
0.0000 5.6910 0.0000
0.0000 0.0000 4.8442
Ba Y Be Al
1 2 1 1
Direct
0.0000 0.0000 0.0000
0.0000 0.5000 0.0000
0.5000 0.0000 0.0000
0.0000 0.0000 0.5000
0.5000 0.5000 0.5000
```



(16)
First-principles (PBE) data for BaBeAlZn2 after structural relaxation, as listed in Alexandria via LeMat-Bulk.

Output
Fermi-level density of states in states/eV/f.u.: 5.0
Formation enthalpy at 0 K in meV/atom: 438

The structure in POSCAR format:
```
BaBeAlZn2
1.0
4.6313 0.0000 0.0000
0.0000 4.6313 0.0000
0.0000 0.0000 5.7146
Ba Be Al Zn
1 1 1 2
Direct
0.0000 0.0000 0.0000
0.0000 0.0000 0.5000
0.5000 0.5000 0.0000
0.0000 0.5000 0.5000
0.5000 0.0000 0.5000
```



(17)
First-principles (PBE) data for BaAlBi2 after structural relaxation, as listed in Alexandria via LeMat-Bulk.

Output
Fermi-level density of states in states/eV/f.u.: 1.4
Formation enthalpy at 0 K in meV/atom: -388

The structure in POSCAR format:
```
BaAlBi2
1.0
3.6183 -3.6180 0.0000
3.6183 3.6180 0.0000
-0.0087 0.0000 11.0484
Ba Al Bi
2 2 4
Direct
0.2494 0.2494 0.2005
0.7506 0.7506 0.7995
0.2501 0.2501 0.6382
0.7499 0.7499 0.3618
0.2500 0.7500 0.5000
0.2506 0.2506 0.8779
0.7494 0.7494 0.1221
0.7500 0.2500 0.5000
```



(18)
First-principles (PBE) data for Ba2AlBi3 after structural relaxation, as listed in Alexandria via LeMat-Bulk.

Output
Formation enthalpy at 0 K in meV/atom: -425

The structure in POSCAR format:
```
Ba2AlBi3
1.0
6.5899 -3.7008 0.0000
6.5899 3.7008 0.0000
-3.5484 0.0000 9.9339
Ba Al Bi
4 2 6
Direct
0.1742 0.1963 0.0826
0.1963 0.1742 0.5826
0.8037 0.8258 0.4174
0.8258 0.8037 0.9174
0.3521 0.6479 0.7500
0.6479 0.3521 0.2500
0.0168 0.9832 0.2500
0.3698 0.3948 0.4094
0.3948 0.3698 0.9094
0.6052 0.6302 0.0906
0.6302 0.6052 0.5906
0.9832 0.0168 0.7500
```



(19)
First-principles (PBE) data for BaAlBi2 after structural relaxation, as listed in Alexandria via LeMat-Bulk.

Output
Fermi-level density of states in states/eV/f.u.: 3.1
Formation enthalpy at 0 K in meV/atom: -261

The structure in POSCAR format:
```
BaAlBi2
1.0
2.5966 1.4991 5.9282
-2.5966 1.4991 5.9282
0.0000 -2.9983 5.9282
Ba Al Bi
1 1 2
Direct
0.0000 0.0000 0.0000
0.5000 0.5000 0.5000
0.2121 0.2121 0.2121
0.7879 0.7879 0.7879
```



(20)
First-principles (PBE) data for BaAl2Bi2 after structural relaxation, as listed in Alexandria via LeMat-Bulk.

Output
Fermi-level density of states in states/eV/f.u.: 2.8
Formation enthalpy at 0 K in meV/atom: -177

The structure in POSCAR format:
```
BaAl2Bi2
1.0
-2.5722 2.5722 6.2382
2.5722 -2.5722 6.2382
2.5722 2.5722 -6.2382
Ba Al Bi
1 2 2
Direct
0.0000 0.0000 0.0000
0.2500 0.7500 0.5000
0.7500 0.2500 0.5000
0.3612 0.3612 0.0000
0.6388 0.6388 0.0000
```